Entry 1:
# Ba2Mg5Cd4

A relaxed structure of Ba2Mg5Cd4 (PBE-GGA, the Alexandria database).

Structure (CIF):
```
data_Ba2Mg5Cd4
_chemical_formula_sum 'Ba4 Mg10 Cd8'
_space_group_name_H-M_alt 'I m m m'
_space_group_IT_number 71
_space_group_name_Hall '-I 2 2'
_cell_length_a 6.3556
_cell_length_b 9.9187
_cell_length_c 10.0870
_cell_angle_alpha 90.00
_cell_angle_beta 90.00
_cell_angle_gamma 90.00
loop_
_atom_site_label
_atom_site_type_symbol
_atom_site_fract_x
_atom_site_fract_y
_atom_site_fract_z
Ba1 Ba 0.0000 0.0000 0.2174
Mg1 Mg 0.0000 0.5000 0.5000
Mg2 Mg 0.2476 0.2021 0.5000
Cd1 Cd 0.0000 0.3407 0.2526
```

Calculated values
The value obtained for the density of states at the Fermi level is 14.9 states/eV/cell. The value obtained for the formation energy from the elements is -1.6 eV/f.u. Its magnetic moment is 0.00 μB per formula unit. The value obtained for the uncorrected energy is -34.2 eV per cell. The crystal system is orthorhombic.

=====

Entry 2:
# Ba4Mg3Cd2

A relaxed structure of Ba4Mg3Cd2 (PBE-GGA, the Alexandria database).

Structure (CIF):
```
data_Ba4Mg3Cd2
_chemical_formula_sum 'Ba8 Mg6 Cd4'
_space_group_name_H-M_alt 'C 1 2/m 1'
_space_group_IT_number 12
_space_group_name_Hall '-C 2y'
_cell_length_a 18.6108
_cell_length_b 4.7226
_cell_length_c 8.4280
_cell_angle_alpha 90.00
_cell_angle_beta 106.41
_cell_angle_gamma 90.00
loop_
_atom_site_label
_atom_site_type_symbol
_atom_site_fract_x
_atom_site_fract_y
_atom_site_fract_z
Ba1 Ba 0.0782 0.0000 0.3703
Ba2 Ba 0.2375 0.5000 0.2041
Mg1 Mg 0.0000 0.5000 0.0000
Mg2 Mg 0.0890 0.5000 0.7240
Cd1 Cd 0.0987 0.0000 0.9554
```

Calculated values
The value obtained for the density of states at the Fermi level is 19.2 states/eV/cell. The value obtained for the formation energy from the elements is -1.2 eV/f.u. Its magnetic moment is 0.00 μB per formula unit. The value obtained for the uncorrected energy is -31.0 eV per cell. The crystal system is monoclinic.

=====

Entry 3:
# BaMg9Cd3

A relaxed structure of BaMg9Cd3 (PBE-GGA, the Alexandria database).

Structure (CIF):
```
data_BaMg9Cd3
_chemical_formula_sum 'Ba2 Mg18 Cd6'
_space_group_name_H-M_alt 'C 1 2/m 1'
_space_group_IT_number 12
_space_group_name_Hall '-C 2y'
_cell_length_a 5.9555
_cell_length_b 14.7098
_cell_length_c 7.8862
_cell_angle_alpha 90.00
_cell_angle_beta 111.43
_cell_angle_gamma 90.00
loop_
_atom_site_label
_atom_site_type_symbol
_atom_site_fract_x
_atom_site_fract_y
_atom_site_fract_z
Ba1 Ba 0.0000 0.0000 0.0000
Mg1 Mg 0.0000 0.0000 0.5000
Mg2 Mg 0.1055 0.3881 0.2208
Mg3 Mg 0.1712 0.1788 0.3540
Cd1 Cd 0.0000 0.5000 0.5000
Cd2 Cd 0.2500 0.2500 0.0000
```

Calculated values
The value obtained for the density of states at the Fermi level is 10.6 states/eV/cell. The value obtained for the formation energy from the elements is -1.6 eV/f.u. Its magnetic moment is 0.00 μB per formula unit. The value obtained for the uncorrected energy is -41.2 eV per cell. The crystal system is monoclinic.

=====

Entry 4:
# Ba2Mg2Cd

A relaxed structure of Ba2Mg2Cd (PBE-GGA, the Alexandria database).

Structure (CIF):
```
data_Ba2Mg2Cd
_chemical_formula_sum 'Ba4 Mg4 Cd2'
_space_group_name_H-M_alt 'I 4/m m m'
_space_group_IT_number 139
_space_group_name_Hall '-I 4 2'
_cell_length_a 4.3128
_cell_length_b 4.3128
_cell_length_c 21.1118
_cell_angle_alpha 90.00
_cell_angle_beta 90.00
_cell_angle_gamma 90.00
loop_
_atom_site_label
_atom_site_type_symbol
_atom_site_fract_x
_atom_site_fract_y
_atom_site_fract_z
Ba1 Ba 0.0000 0.0000 0.0982
Mg1 Mg 0.0000 0.5000 0.2500
Cd1 Cd 0.0000 0.0000 0.5000
```

Calculated values
The value obtained for the density of states at the Fermi level is 9.2 states/eV/cell. The value obtained for the formation energy from the elements is -0.1 eV/f.u. Its magnetic moment is 0.00 μB per formula unit. The value obtained for the uncorrected energy is -16.2 eV per cell. The crystal system is tetragonal.

=====

Which formula does entry 2 have? Ba4Mg3Cd2